P) ## KZrBr2 (SCAN)

Data for a PBEsol-optimized structure of KZrBr2.

Cell: 5.1780 5.1780 5.1780 Å, 60.00 60.00 60.00°
With the nearest neighbours (Å) after each atom.
Sites, in units of the cell vectors:
K: 0.0000 0.0000 0.0000  8 Br 3.17
Zr: 0.5000 0.5000 0.5000  8 Br 3.17
Br: 0.2500 0.2500 0.2500  4 Zr 3.17, 4 K 3.17
Br: 0.7500 0.7500 0.7500  4 Zr 3.17, 4 K 3.17

Summary:
- Density: 4907 kg/m3
- Space-group type: Fm-3m
- V: 98 Å³/f.u.


Q) ## KZrBr2 (SCAN)

Data for a PBEsol-optimized structure of KZrBr2.

Cell: 3.5015 5.3028 5.6788 Å, 90.00 107.86 90.00°
With the nearest neighbours (Å) after each atom.
Sites, in units of the cell vectors:
K: 0.0000 0.0000 0.0000  7 Br 2.96-3.25
Zr: 0.7215 0.5000 0.4458  4 Br 2.65-2.93
Br: 0.4389 0.5000 0.8790  3 Zr 2.92-3.06, 4 K 3.24-3.25
Br: 0.7251 0.0000 0.4530  2 Zr 2.65, 1 K 2.96

Summary:
- Density: 4800 kg/m3
- Space-group type: Pm
- V: 100 Å³/f.u.


Most stable one: Q), least stable one: P).


P) ## La2Br (SCAN)

Data for a PBEsol-optimized structure of La2Br.

Cell: 8.3579 8.3579 5.9442 Å, 90.00 90.00 152.90°
With the nearest neighbours (Å) after each atom.
Sites, in units of the cell vectors:
La: 0.0422 0.9578 0.7500  2 Br 3.05, 2 La 3.27
La: 0.3339 0.6661 0.7500  4 Br 2.99-3.10
La: 0.6661 0.3339 0.2500  4 Br 2.99-3.10
La: 0.9578 0.0422 0.2500  2 Br 3.05, 2 La 3.27
Br: 0.3137 0.6863 0.2500  6 La 2.99-3.10
Br: 0.6863 0.3137 0.7500  6 La 2.99-3.10

Summary:
- Density: 6281 kg/m3
- Space-group type: Cmcm
- V: 95 Å³/f.u.


Q) ## La2Br (SCAN)

Data for a PBEsol-optimized structure of La2Br.

Cell: 6.1096 6.1096 6.1096 Å, 106.36 106.36 115.89°
With the nearest neighbours (Å) after each atom.
Sites, in units of the cell vectors:
La: 0.1538 0.6538 0.8076  1 La 3.19, 4 Br 3.21
La: 0.3462 0.1538 0.5000  1 La 3.19, 4 Br 3.21
La: 0.6538 0.8462 0.5000  1 La 3.19, 4 Br 3.21
La: 0.8462 0.3462 0.1924  1 La 3.19, 4 Br 3.21
Br: 0.2500 0.2500 0.0000  8 La 3.21, 2 Br 3.24
Br: 0.7500 0.7500 0.0000  8 La 3.21, 2 Br 3.24

Summary:
- Density: 6832 kg/m3
- Space-group type: I4/mcm
- V: 87 Å³/f.u.


Most stable one: Q), least stable one: P).


P) ## La3Br (SCAN)

Data for a PBEsol-optimized structure of La3Br.

Cell: 3.7128 5.9077 5.5215 Å, 90.00 92.57 90.00°
With the nearest neighbours (Å) after each atom.
Sites, in units of the cell vectors:
La: 0.0000 0.0000 0.0000  4 Br 3.26-3.40, 4 La 3.48
La: 0.3304 0.5000 0.7625  1 La 2.86
La: 0.6696 0.5000 0.2375  1 La 2.86
Br: 0.5000 0.0000 0.5000  8 La 3.26-3.40

Summary:
- Density: 6816 kg/m3
- Space-group type: P2/m
- V: 121 Å³/f.u.


Q) ## La3Br (SCAN)

Data for a PBEsol-optimized structure of La3Br.

Cell: 6.1635 6.1635 6.1635 Å, 144.55 75.65 115.67°
With the nearest neighbours (Å) after each atom.
Sites, in units of the cell vectors:
La: 0.0000 0.0000 0.0000  2 Br 3.05, 2 La 3.22
La: 0.1809 0.3859 0.7951  3 Br 3.19-3.31, 3 La 3.22-3.51
La: 0.5908 0.3859 0.2049  3 Br 3.19-3.31, 3 La 3.22-3.51
Br: 0.6345 0.1345 0.5000  8 La 3.05-3.31

Summary:
- Density: 6878 kg/m3
- Space-group type: Imm2
- V: 120 Å³/f.u.


R) ## La3Br (SCAN)

Data for a PBEsol-optimized structure of La3Br.

Cell: 10.6897 10.6897 10.6897 Å, 20.08 20.08 20.08°
With the nearest neighbours (Å) after each atom.
Sites, in units of the cell vectors:
La: 0.0000 0.0000 0.0000  12 La 3.59-3.73
La: 0.2419 0.2419 0.2419  3 Br 3.20
La: 0.7581 0.7581 0.7581  3 Br 3.20
Br: 0.5000 0.5000 0.5000  6 La 3.20

Summary:
- Density: 6548 kg/m3
- Space-group type: R-3m
- V: 126 Å³/f.u.


Most stable one: R), least stable one: P).